Arrangement A

# Dy2Y2Tm3Ni2Te2

Crystalline Dy2Y2Tm3Ni2Te2 at its relaxed geometry (PBE, OQMD).

Lattice parameters (Å, degrees): 3.820 15.509 9.541 90.00 90.00 90.00
Space group Imm2 (No. 44)
Asymmetric unit:
1 Dy 0.000 0.185 0.000 [4 per cell]
2 Y 0.000 0.369 0.799 [4 per cell]
3 Tm 0.000 0.146 0.653 [4 per cell]
4 Tm 0.000 0.500 0.380 [2 per cell]
5 Ni 0.000 0.264 0.308 [4 per cell]
6 Te 0.000 0.000 0.144 [2 per cell]
7 Te 0.000 0.500 0.047 [2 per cell]

Computed properties:
Size of the total moment: 0.01 μB per formula unit

---

Arrangement B

# Dy2Y2Tm3Ni2Te2

Crystalline Dy2Y2Tm3Ni2Te2 at its relaxed geometry (PBE, OQMD).

Lattice parameters (Å, degrees): 3.835 15.527 9.525 90.00 90.00 90.00
Space group Imm2 (No. 44)
Asymmetric unit:
1 Dy 0.000 0.133 0.000 [4 per cell]
2 Y 0.000 0.354 0.852 [4 per cell]
3 Tm 0.000 0.000 0.583 [2 per cell]
4 Tm 0.000 0.315 0.202 [4 per cell]
5 Ni 0.000 0.238 0.513 [4 per cell]
6 Te 0.000 0.000 0.247 [2 per cell]
7 Te 0.000 0.500 0.345 [2 per cell]

Computed properties:
Size of the total moment: 0.01 μB per formula unit

---

It is arrangement A that is the least stable of them.

---

Arrangement A

# DyY2Tm4Ni2Te2

Crystalline DyY2Tm4Ni2Te2 at its relaxed geometry (PBE, OQMD).

Lattice parameters (Å, degrees): 3.841 15.519 9.553 90.00 90.00 90.00
Space group Imm2 (No. 44)
Asymmetric unit:
1 Dy 0.000 0.000 0.000 [2 per cell]
2 Y 0.000 0.132 0.419 [4 per cell]
3 Tm 0.000 0.315 0.620 [4 per cell]
4 Tm 0.000 0.352 0.271 [4 per cell]
5 Ni 0.000 0.236 0.929 [4 per cell]
6 Te 0.000 0.000 0.666 [2 per cell]
7 Te 0.000 0.500 0.763 [2 per cell]

Computed properties:
Size of the total moment: 0.03 μB per formula unit

---

Arrangement B

# DyY2Tm4Ni2Te2

Crystalline DyY2Tm4Ni2Te2 at its relaxed geometry (PBE, OQMD).

Lattice parameters (Å, degrees): 3.836 15.521 9.544 90.00 90.00 90.00
Space group Imm2 (No. 44)
Asymmetric unit:
1 Dy 0.000 0.000 0.000 [2 per cell]
2 Y 0.000 0.315 0.622 [4 per cell]
3 Tm 0.000 0.133 0.419 [4 per cell]
4 Tm 0.000 0.353 0.271 [4 per cell]
5 Ni 0.000 0.239 0.927 [4 per cell]
6 Te 0.000 0.000 0.664 [2 per cell]
7 Te 0.000 0.500 0.767 [2 per cell]

Computed properties:
Size of the total moment: 0.01 μB per formula unit

---

It is arrangement B that is the least stable of them.

---

Arrangement A

# Dy2YTm4Ni2Te2

Crystalline Dy2YTm4Ni2Te2 at its relaxed geometry (PBE, OQMD).

Lattice parameters (Å, degrees): 3.839 15.543 9.529 90.00 90.00 90.00
Space group Imm2 (No. 44)
Asymmetric unit:
1 Dy 0.000 0.132 0.000 [4 per cell]
2 Y 0.000 0.000 0.582 [2 per cell]
3 Tm 0.000 0.315 0.202 [4 per cell]
4 Tm 0.000 0.353 0.852 [4 per cell]
5 Ni 0.000 0.237 0.510 [4 per cell]
6 Te 0.000 0.000 0.247 [2 per cell]
7 Te 0.000 0.500 0.346 [2 per cell]

Computed properties:
Size of the total moment: 0.02 μB per formula unit

---

Arrangement B

# Dy2YTm4Ni2Te2

Crystalline Dy2YTm4Ni2Te2 at its relaxed geometry (PBE, OQMD).

Lattice parameters (Å, degrees): 3.836 15.537 9.525 90.00 90.00 90.00
Space group Imm2 (No. 44)
Asymmetric unit:
1 Dy 0.000 0.185 0.000 [4 per cell]
2 Y 0.000 0.500 0.379 [2 per cell]
3 Tm 0.000 0.147 0.649 [4 per cell]
4 Tm 0.000 0.368 0.798 [4 per cell]
5 Ni 0.000 0.261 0.307 [4 per cell]
6 Te 0.000 0.000 0.146 [2 per cell]
7 Te 0.000 0.500 0.043 [2 per cell]

Computed properties:
Size of the total moment: 0.02 μB per formula unit

---

It is arrangement B that is the least stable of them.

---

Arrangement A

# DyY4Tm2Ni2Te2

Crystalline DyY4Tm2Ni2Te2 at its relaxed geometry (PBE, OQMD).

Lattice parameters (Å, degrees): 3.846 15.579 9.607 90.00 90.00 90.00
Space group Imm2 (No. 44)
Asymmetric unit:
1 Dy 0.000 0.000 0.000 [2 per cell]
2 Y 0.000 0.131 0.420 [4 per cell]
3 Y 0.000 0.315 0.621 [4 per cell]
4 Tm 0.000 0.353 0.273 [4 per cell]
5 Ni 0.000 0.236 0.926 [4 per cell]
6 Te 0.000 0.000 0.667 [2 per cell]
7 Te 0.000 0.500 0.764 [2 per cell]

Computed properties:
Size of the total moment: 0.02 μB per formula unit

---

Arrangement B

# DyY4Tm2Ni2Te2

Crystalline DyY4Tm2Ni2Te2 at its relaxed geometry (PBE, OQMD).

Lattice parameters (Å, degrees): 3.853 15.621 9.579 90.00 90.00 90.00
Space group Imm2 (No. 44)
Asymmetric unit:
1 Dy 0.000 0.000 0.000 [2 per cell]
2 Y 0.000 0.131 0.418 [4 per cell]
3 Y 0.000 0.354 0.268 [4 per cell]
4 Tm 0.000 0.316 0.619 [4 per cell]
5 Ni 0.000 0.238 0.928 [4 per cell]
6 Te 0.000 0.000 0.664 [2 per cell]
7 Te 0.000 0.500 0.764 [2 per cell]

Computed properties:
Size of the total moment: 0.05 μB per formula unit

---

It is arrangement A that is the least stable of them.